This record from OQMD via LeMat-Bulk describes an optimized crystal structure of ZnCoPb2S2O2. The functional is PBE with a Hubbard U.

abc: 3.8363 3.8363 12.1880
angles: 90.00 90.00 120.00
With the nearest neighbours (Å) after each atom.
Space group P3m1 (No. 156)
Inequivalent atoms, fractional coordinates:
Zn 0.0000 0.0000 0.0000  1 O 1.96
Co 0.0000 0.0000 0.4997  1 O 1.92
Pb 0.3333 0.6667 0.2393  3 O 2.41
Pb 0.6667 0.3333 0.7350  3 O 2.41
S 0.3333 0.6667 0.9302  3 Zn 2.37
S 0.6667 0.3333 0.4349  3 Co 2.35
O 0.0000 0.0000 0.1605  1 Zn 1.96
O 0.0000 0.0000 0.6573  1 Co 1.92

Calculated values
Uncorrected energy ... -4.830 eV/atom
Mass density ... 6.79 g cm⁻³